First-principles (PBEsol) data for a relaxed structure of CrSiSbI2, as listed in Alexandria via LeMat-Bulk.

DOS at the Fermi energy	4.1	states/eV/f.u.
space-group type	P4/mmm (123)
formation energy without anion corrections	0.82	eV per atom
magnetic moment	4.24	μB/cell

```
5
Lattice="-3.080 -0.710 -4.329 3.875 -2.921 -2.278 -2.045 -4.412 2.179" Properties=species:S:1:pos:R:3 pbc="T T T"
I 1.937 -1.460 -1.139
I -1.540 -0.355 -2.165
Sb -1.023 -2.206 1.089
Si 0.000 0.000 0.000
Cr -0.625 -4.021 -2.214
```